1.
Compound: HgMo3S
Source: Alexandria via LeMat-Bulk
Functional: meta-GGA SCAN
Structure: PBEsol geometry

* volume: 116.5 Å³/f.u.
* raw formation energy: 2.9297 eV/atom
* SG: No. 221

POSCAR file:
```
HgMo3S
1.0
4.884 0.000 0.000
0.000 4.884 0.000
0.000 0.000 4.884
Hg Mo S
1 3 1
Direct
0.000 0.000 0.000
0.000 0.000 0.500
0.000 0.500 0.000
0.500 0.000 0.000
0.500 0.500 0.500
```

***

2.
Compound: TcHgMoS2
Source: Alexandria via LeMat-Bulk
Functional: meta-GGA SCAN
Structure: PBEsol geometry

* volume: 100.0 Å³/f.u.
* raw formation energy: 0.6568 eV/atom
* SG: No. 123

POSCAR file:
```
TcHgMoS2
1.0
4.479 0.000 0.000
0.000 4.479 0.000
0.000 0.000 4.983
Tc Hg Mo S
1 1 1 2
Direct
0.000 0.000 0.000
0.500 0.500 0.500
0.000 0.000 0.500
0.000 0.500 0.000
0.500 0.000 0.000
```

***

3.
Compound: TlHgMoS2
Source: Alexandria via LeMat-Bulk
Functional: meta-GGA SCAN
Structure: PBEsol geometry

* volume: 137.0 Å³/f.u.
* raw formation energy: 1.2342 eV/atom
* SG: No. 123

POSCAR file:
```
TlHgMoS2
1.0
5.003 0.000 0.000
0.000 5.003 0.000
0.000 0.000 5.473
Tl Hg Mo S
1 1 1 2
Direct
0.000 0.000 0.000
0.500 0.500 0.500
0.000 0.000 0.500
0.000 0.500 0.000
0.500 0.000 0.000
```